Below is a relaxed structure of NaGaHg14, with properties calculated at the PBE level.

Results
SG   Amm2, No. 38
E   -0.56 eV per atom
Crystal system   orthorhombic
Total moment   0.0000 μB per atom

abc: 7.250 6.603 10.633
angles: 90.00 90.00 123.30
Element x y z (fractional)
Na  0.139  0.278  0.500
Ga  0.670  0.340  0.500
Hg  0.143  0.286  0.000
Hg  0.675  0.350  0.000
Hg  0.634  0.791  0.500
Hg  0.642  0.826  0.000
Hg  0.157  0.791  0.500
Hg  0.184  0.826  0.000
Hg  0.819  0.189  0.737
Hg  0.819  0.189  0.263
Hg  0.370  0.189  0.737
Hg  0.370  0.189  0.263
Hg  0.326  0.651  0.749
Hg  0.326  0.651  0.251
Hg  0.863  0.727  0.754
Hg  0.863  0.727  0.246